Here is a relaxed structure of Tb2NdYAs4 from Alexandria via LeMat-Bulk. Energies are from PBE.

Calculated values
Total magnetic moment ... 0.000 μB per atom
Space group ... P2/m (10)
Electronic total energy ... -6.4188 eV per atom

a = 7.2198 Å, b = 4.1719 Å, c = 7.2214 Å
α = 90.00°, β = 109.47°, γ = 90.00°
Fractional coordinates of all 8 atoms:
Tb1 0.0000 0.0000 0.0000
Tb2 0.5000 0.5000 0.0000
Nd1 0.0000 0.5000 0.5000
Y1 0.5000 0.0000 0.5000
As1 0.2530 0.5000 0.2476
As2 0.2557 0.0000 0.7552
As3 0.7443 0.0000 0.2448
As4 0.7470 0.5000 0.7524

Here is a relaxed structure of TbErPb6 from Alexandria via LeMat-Bulk. Energies are from PBE.

Calculated values
Total magnetic moment ... 0.000 μB per atom
Space group ... P4/mmm (123)
Electronic total energy ... -4.1970 eV per atom

a = 4.8746 Å, b = 4.8746 Å, c = 9.7519 Å
α = 90.00°, β = 90.00°, γ = 90.00°
Fractional coordinates of all 8 atoms:
Tb1 0.0000 0.0000 0.0000
Er1 0.0000 0.0000 0.5000
Pb1 0.0000 0.5000 0.2514
Pb2 0.0000 0.5000 0.7486
Pb3 0.5000 0.0000 0.2514
Pb4 0.5000 0.0000 0.7486
Pb5 0.5000 0.5000 0.0000
Pb6 0.5000 0.5000 0.5000

Here is a relaxed structure of La2Al5Cu5 from Alexandria via LeMat-Bulk. Energies are from PBE.

Calculated values
Total magnetic moment ... 0.000 μB per atom
Space group ... Pmmm (47)
Electronic total energy ... -4.5166 eV per atom

a = 4.1939 Å, b = 5.3975 Å, c = 9.2839 Å
α = 90.00°, β = 90.00°, γ = 90.00°
Fractional coordinates of all 12 atoms:
La1 0.0000 0.0000 0.0000
La2 0.0000 0.5000 0.5000
Al1 0.5000 0.0000 0.5000
Al2 0.5000 0.2511 0.2400
Al3 0.5000 0.2511 0.7600
Al4 0.5000 0.7489 0.2400
Al5 0.5000 0.7489 0.7600
Cu1 0.0000 0.0000 0.3331
Cu2 0.0000 0.0000 0.6669
Cu3 0.0000 0.5000 0.1664
Cu4 0.0000 0.5000 0.8336
Cu5 0.5000 0.5000 0.0000

Here is a relaxed structure of LiTlPtPb2 from Alexandria via LeMat-Bulk. Energies are from PBE.

Calculated values
Total magnetic moment ... 0.000 μB per atom
Space group ... P4/mmm (123)
Electronic total energy ... -3.6273 eV per atom

a = 5.3899 Å, b = 5.3899 Å, c = 4.9192 Å
α = 90.00°, β = 90.00°, γ = 90.00°
Fractional coordinates of all 5 atoms:
Li1 0.0000 0.0000 0.0000
Tl1 0.5000 0.5000 0.0000
Pt1 0.0000 0.0000 0.5000
Pb1 0.0000 0.5000 0.5000
Pb2 0.5000 0.0000 0.5000

Here is a relaxed structure of La3InCo from Alexandria via LeMat-Bulk. Energies are from PBE.

Calculated values
Total magnetic moment ... 0.000 μB per atom
Space group ... R3m (160)
Electronic total energy ... -4.9622 eV per atom
Relative energy among the computed polymorphs ... 0.255 eV/atom

a = 6.2096 Å, b = 6.2096 Å, c = 6.2096 Å
α = 113.12°, β = 113.12°, γ = 113.12°
Fractional coordinates of all 5 atoms:
La1 0.1905 0.1905 0.6190
La2 0.1905 0.6190 0.1905
La3 0.6190 0.1905 0.1905
In1 0.7868 0.7868 0.7868
Co1 0.2808 0.2808 0.2808

Here is a relaxed structure of Pr3Te2Se from Alexandria via LeMat-Bulk. Energies are from PBE.

Calculated values
Total magnetic moment ... 0.000 μB per atom
Space group ... P6_3/mmc (194)
Electronic total energy ... -5.5441 eV per atom
Raw formation energy ... -9.2 eV/f.u.
Relative energy among the computed polymorphs ... 0.039 eV/atom

a = 4.3912 Å, b = 4.3912 Å, c = 22.5837 Å
α = 90.00°, β = 90.00°, γ = 120.00°
Fractional coordinates of all 12 atoms:
Pr1 0.0000 0.0000 0.0000
Pr2 0.0000 0.0000 0.5000
Pr3 0.3333 0.6667 0.1688
Pr4 0.3333 0.6667 0.3312
Pr5 0.6667 0.3333 0.6688
Pr6 0.6667 0.3333 0.8312
Te1 0.3333 0.6667 0.5851
Te2 0.3333 0.6667 0.9149
Te3 0.6667 0.3333 0.0851
Te4 0.6667 0.3333 0.4149
Se1 0.0000 0.0000 0.2500
Se2 0.0000 0.0000 0.7500

Here is a relaxed structure of AcAlH5 from Alexandria via LeMat-Bulk. Energies are from PBE.

Calculated values
Total magnetic moment ... 0.000 μB per atom
Space group ... Immm (71)
Electronic total energy ... -3.7527 eV per atom

a = 4.7214 Å, b = 4.7214 Å, c = 4.7214 Å
α = 125.06°, β = 116.88°, γ = 88.48°
Fractional coordinates of all 7 atoms:
Ac1 0.0000 0.0000 0.0000
Al1 0.5000 0.5000 0.0000
H1 0.0735 0.3308 0.7428
H2 0.4120 0.6692 0.7428
H3 0.5000 0.0000 0.5000
H4 0.5880 0.3308 0.2572
H5 0.9265 0.6692 0.2572

Here is a relaxed structure of Y2V2In from Alexandria via LeMat-Bulk. Energies are from PBE.

Calculated values
Total magnetic moment ... 0.000 μB per atom
Space group ... P4/mbm (127)
Electronic total energy ... -6.6628 eV per atom

a = 7.7666 Å, b = 7.7666 Å, c = 3.8251 Å
α = 90.00°, β = 90.00°, γ = 90.00°
Fractional coordinates of all 10 atoms:
Y1 0.2012 0.2988 0.0000
Y2 0.2988 0.7988 0.0000
Y3 0.7012 0.2012 0.0000
Y4 0.7988 0.7012 0.0000
V1 0.0860 0.5860 0.5000
V2 0.4140 0.0860 0.5000
V3 0.5860 0.9140 0.5000
V4 0.9140 0.4140 0.5000
In1 0.0000 0.0000 0.5000
In2 0.5000 0.5000 0.5000

Here is a relaxed structure of Y2MgTl8 from Alexandria via LeMat-Bulk. Energies are from PBE.

Calculated values
Total magnetic moment ... 0.000 μB per atom
Space group ... P4/mmm (123)
Electronic total energy ... -3.1932 eV per atom

a = 4.9657 Å, b = 4.9657 Å, c = 12.3740 Å
α = 90.00°, β = 90.00°, γ = 90.00°
Fractional coordinates of all 11 atoms:
Y1 0.0000 0.0000 0.1845
Y2 0.0000 0.0000 0.8155
Mg1 0.0000 0.0000 0.5000
Tl1 0.0000 0.5000 0.0000
Tl2 0.0000 0.5000 0.3645
Tl3 0.0000 0.5000 0.6355
Tl4 0.5000 0.0000 0.0000
Tl5 0.5000 0.0000 0.3645
Tl6 0.5000 0.0000 0.6355
Tl7 0.5000 0.5000 0.1849
Tl8 0.5000 0.5000 0.8151

Here is a relaxed structure of Ta2BeFePt from Alexandria via LeMat-Bulk. Energies are from PBE.

Calculated values
Total magnetic moment ... 0.001 μB per atom
Space group ... P4/mmm (123)
Electronic total energy ... -7.4038 eV per atom

a = 4.4325 Å, b = 4.4325 Å, c = 4.6647 Å
α = 90.00°, β = 90.00°, γ = 90.00°
Fractional coordinates of all 5 atoms:
Ta1 0.0000 0.5000 0.0000
Ta2 0.5000 0.0000 0.0000
Be1 0.0000 0.0000 0.5000
Fe1 0.5000 0.5000 0.0000
Pt1 0.5000 0.5000 0.5000

Here is a relaxed structure of HfTl2InSe5 from Alexandria via LeMat-Bulk. Energies are from PBE.

Calculated values
Total magnetic moment ... 0.000 μB per atom
Space group ... Cmc2_1 (36)
Electronic total energy ... -4.5658 eV per atom
Raw formation energy ... -6.2 eV/f.u.

a = 9.5776 Å, b = 9.5776 Å, c = 14.1706 Å
α = 90.00°, β = 90.00°, γ = 156.15°
Fractional coordinates of all 18 atoms:
Hf1 0.2329 0.7671 0.5000
Hf2 0.7671 0.2329 0.0000
Tl1 0.1026 0.8974 0.1215
Tl2 0.1210 0.8790 0.7776
Tl3 0.8790 0.1210 0.2776
Tl4 0.8974 0.1026 0.6215
In1 0.4215 0.5785 0.8957
In2 0.5785 0.4215 0.3957
Se1 0.0781 0.9219 0.5168
Se2 0.2679 0.7321 0.1273
Se3 0.2818 0.7182 0.8660
Se4 0.3701 0.6299 0.4691
Se5 0.4870 0.5130 0.7365
Se6 0.5130 0.4870 0.2365
Se7 0.6299 0.3701 0.9691
Se8 0.7182 0.2818 0.3660
Se9 0.7321 0.2679 0.6273
Se10 0.9219 0.0781 0.0168

Here is a relaxed structure of LiAcCe2Se4 from Alexandria via LeMat-Bulk. Energies are from PBE.

Calculated values
Total magnetic moment ... 0.309 μB per atom
Space group ... P2/m (10)
Electronic total energy ... -5.6871 eV per atom
Raw formation energy ... -13.7 eV/f.u.

a = 7.3077 Å, b = 4.2600 Å, c = 7.4933 Å
α = 90.00°, β = 109.19°, γ = 90.00°
Fractional coordinates of all 8 atoms:
Li1 0.0000 0.0000 0.0000
Ac1 0.5000 0.5000 0.0000
Ce1 0.0000 0.5000 0.5000
Ce2 0.5000 0.0000 0.5000
Se1 0.2343 0.0000 0.7445
Se2 0.2400 0.5000 0.2503
Se3 0.7600 0.5000 0.7497
Se4 0.7657 0.0000 0.2555